Record 1
Here is an optimized crystal structure of TaMn2 from the Alexandria database. Energies are from PBEsol.

POSCAR file:
```
TaMn2
1.0
4.7448 0.0000 0.0000
-2.3724 4.1091 0.0000
0.0000 0.0000 7.7908
Ta Mn
4 8
direct
0.3333 0.6667 0.4374
0.6667 0.3333 0.9374
0.6667 0.3333 0.5626
0.3333 0.6667 0.0626
0.0000 0.0000 0.5000
0.0000 0.0000 0.0000
0.3435 0.1718 0.2500
0.1718 0.8282 0.7500
0.1718 0.3435 0.7500
0.8282 0.6565 0.2500
0.8282 0.1718 0.2500
0.6565 0.8282 0.7500
```

V: 151.9 Å³/cell
Size of the total moment: 0.224 μB/f.u.
D(E_F): 1.6514 states/eV/atom
Energy of formation from the pure elements: -0.221 eV per atom

---

Record 2
Here is an optimized crystal structure of Ta5Mn3 from the Alexandria database. Energies are from PBEsol.

POSCAR file:
```
Ta5Mn3
1.0
-0.9117 1.5577 -3.9675
-5.0907 -1.6234 0.5325
0.4761 5.0149 1.8596
Mn Ta
3 5
direct
0.0000 0.5000 0.5000
0.5000 0.7503 0.2497
0.5000 0.2497 0.7503
0.0000 0.0000 0.0000
0.0000 0.5000 0.0000
0.0000 0.0000 0.5000
0.5000 0.7402 0.7402
0.5000 0.2598 0.2598
```

V: 118.6 Å³/cell
Size of the total moment: 0.000 μB/f.u.
D(E_F): 0.5079 states/eV/atom
Energy of formation from the pure elements: -0.090 eV per atom

---

Record 3
Here is an optimized crystal structure of Ta4Mn from the Alexandria database. Energies are from PBEsol.

POSCAR file:
```
Ta4Mn
1.0
3.1214 0.0000 0.0000
1.5607 5.0918 0.0000
1.5607 0.0000 5.0918
Mn Ta
1 4
direct
0.0000 0.0000 0.0000
0.5912 0.6217 0.1958
0.7871 0.8042 0.6217
0.4088 0.3783 0.8042
0.2129 0.1958 0.3783
```

V: 80.9 Å³/cell
Size of the total moment: 0.001 μB/f.u.
D(E_F): 0.8977 states/eV/atom
Energy of formation from the pure elements: -0.045 eV per atom

---

Record 4
Here is an optimized crystal structure of Ta5Mn24 from the Alexandria database. Energies are from PBEsol.

POSCAR file:
```
Ta5Mn24
1.0
-7.2381 2.2421 0.1514
0.5701 -6.4311 -3.9693
2.4283 -1.1785 7.0820
Mn Ta
24 5
direct
0.1971 0.1971 0.8217
0.3754 0.3754 0.1783
0.6246 0.8029 0.0000
0.8029 0.6246 0.0000
0.0000 0.8029 0.6246
0.0000 0.6246 0.8029
0.1783 0.3754 0.3754
0.8217 0.1971 0.1971
0.8029 0.0000 0.6246
0.6246 0.0000 0.8029
0.1971 0.8217 0.1971
0.3754 0.1783 0.3754
0.6706 0.6706 0.2842
0.3864 0.3864 0.7158
0.6136 0.3294 0.0000
0.3294 0.6136 0.0000
0.0000 0.3294 0.6136
0.0000 0.6136 0.3294
0.7158 0.3864 0.3864
0.2842 0.6706 0.6706
0.3294 0.0000 0.6136
0.6136 0.0000 0.3294
0.6706 0.2842 0.6706
0.3864 0.7158 0.3864
0.0000 0.0000 0.3789
0.6211 0.6211 0.6211
0.3789 0.0000 0.0000
0.0000 0.3789 0.0000
0.0000 0.0000 0.0000
```

V: 335.1 Å³/cell
Size of the total moment: 0.008 μB/f.u.
D(E_F): 1.4860 states/eV/atom
Energy of formation from the pure elements: -0.108 eV per atom

---

Record 5
Here is an optimized crystal structure of Ta5Mn from the Alexandria database. Energies are from PBEsol.

POSCAR file:
```
Ta5Mn
1.0
-2.7297 -1.4871 -0.5980
1.2901 -2.7393 0.9230
-2.9523 1.7143 9.2139
Mn Ta
1 5
direct
0.5000 0.5000 0.5000
0.0000 0.0000 0.6503
0.5000 0.5000 0.8278
0.0000 0.0000 0.0000
0.5000 0.5000 0.1722
0.0000 0.0000 0.3497
```

V: 98.5 Å³/cell
Size of the total moment: 0.001 μB/f.u.
D(E_F): 0.9237 states/eV/atom
Energy of formation from the pure elements: -0.042 eV per atom

---

Record 6
Here is an optimized crystal structure of Ta3Mn from the Alexandria database. Energies are from PBEsol.

POSCAR file:
```
Ta3Mn
1.0
-1.3337 -2.8012 0.2892
2.7498 -1.2265 0.8021
-1.2675 1.2495 6.2563
Mn Ta
1 3
direct
0.0000 0.0000 0.0000
0.0000 0.0000 0.5000
0.5000 0.5000 0.2296
0.5000 0.5000 0.7704
```

V: 63.2 Å³/cell
Size of the total moment: 0.000 μB/f.u.
D(E_F): 0.7070 states/eV/atom
Energy of formation from the pure elements: -0.081 eV per atom

---

Record 7
Here is an optimized crystal structure of Ta4Mn from the Alexandria database. Energies are from PBEsol.

POSCAR file:
```
Ta4Mn
1.0
3.7921 0.0000 0.0000
0.0000 3.7921 0.0000
-1.8960 -1.8960 6.6327
Mn Ta
1 4
direct
0.0000 0.0000 0.0000
0.2500 0.7500 0.5000
0.4060 0.4060 0.8119
0.5940 0.5940 0.1881
0.7500 0.2500 0.5000
```

V: 95.4 Å³/cell
Size of the total moment: 3.277 μB/f.u.
D(E_F): 1.0001 states/eV/atom
Energy of formation from the pure elements: 1.031 eV per atom

---

Record 8
Here is an optimized crystal structure of TaMnTe2 from the Alexandria database. Energies are from PBEsol.

POSCAR file:
```
TaMnTe2
1.0
-2.5484 2.2938 -0.6006
-1.5239 -3.8968 1.6705
1.5771 3.2478 5.7125
Mn Ta Te
1 1 2
direct
0.5099 0.0197 0.5525
0.2422 0.4845 0.6852
0.9837 0.9674 0.8992
0.7642 0.5283 0.3631
```

Raw total energy: -29.1 eV/f.u.
V: 95.8 Å³/cell
Size of the total moment: 2.247 μB/f.u.
D(E_F): 0.6069 states/eV/atom

---

Record 9
Here is an optimized crystal structure of TaTi2Mn from the Alexandria database. Energies are from PBEsol.

POSCAR file:
```
TaTi2Mn
1.0
-0.0636 -4.3237 -0.6242
3.0391 -1.8904 -2.5056
3.0750 -2.5151 1.8183
Mn Ti Ta
1 2 1
direct
0.0000 0.0000 0.0000
0.2500 0.2500 0.2500
0.7500 0.7500 0.7500
0.5000 0.5000 0.5000
```

V: 59.0 Å³/cell
Size of the total moment: 0.002 μB/f.u.
D(E_F): 1.7723 states/eV/atom
Energy of formation from the pure elements: 0.089 eV per atom

---

Record 10
Here is an optimized crystal structure of TaMn2Tl from the Alexandria database. Energies are from PBEsol.

POSCAR file:
```
TaMn2Tl
1.0
3.3084 0.0000 0.0000
0.0000 4.2231 0.0828
0.0000 -0.0818 4.2231
Mn Ta Tl
2 1 1
direct
0.0000 0.0000 0.5000
0.0000 0.5000 0.0000
0.5000 0.0000 0.0000
0.5000 0.5000 0.5000
```

V: 59.0 Å³/cell
Size of the total moment: 2.260 μB/f.u.
D(E_F): 0.7148 states/eV/atom
Energy of formation from the pure elements: 0.343 eV per atom

---

Record 11
Here is an optimized crystal structure of TaMn2Tl from the Alexandria database. Energies are from PBEsol.

POSCAR file:
```
TaMn2Tl
1.0
-3.4749 -0.5597 2.7654
-1.8773 -4.0388 0.4462
0.5159 -2.2998 3.8053
Mn Ta Tl
2 1 1
direct
0.0000 0.0000 0.0000
0.2500 0.2500 0.2500
0.5000 0.5000 0.5000
0.7500 0.7500 0.7500
```

V: 63.4 Å³/cell
Size of the total moment: 4.680 μB/f.u.
D(E_F): 1.0890 states/eV/atom
Energy of formation from the pure elements: 0.613 eV per atom

---

Record 12
Here is an optimized crystal structure of TaMn2Tl from the Alexandria database. Energies are from PBEsol.

POSCAR file:
```
TaMn2Tl
1.0
4.3604 0.0000 0.0000
2.1802 3.7763 0.0000
2.1802 1.2588 3.5603
Mn Ta Tl
2 1 1
direct
0.7500 0.7500 0.7500
0.2500 0.2500 0.2500
0.0000 0.0000 0.0000
0.5000 0.5000 0.5000
```

V: 58.6 Å³/cell
Size of the total moment: 1.940 μB/f.u.
D(E_F): 1.1140 states/eV/atom
Energy of formation from the pure elements: 0.356 eV per atom